Here is an optimized crystal structure of Ce2PrHfAs4 from Alexandria via LeMat-Bulk. Energies are from PBE.

## Properties
space group	P2/m, No. 10
energy relative to the elements	-1.3146	eV/atom
spin magnetization	1.350	μB per cell

Unit cell a=7.1582 b=4.1299 c=7.1738 alpha=90.00 beta=109.29 gamma=90.00
Last column: nearest neighbours and their distance in Å.
Positions (direct):
Ce: 0.0000 0.0000 0.0000  6 As 2.90
Ce: 0.0000 0.5000 0.5000  6 As 3.03-3.04
Pr: 0.5000 0.0000 0.5000  6 As 2.95-2.96
Hf: 0.5000 0.5000 0.0000  6 As 2.80-2.82
As: 0.2548 0.5000 0.2347  1 Hf 2.80, 3 Ce 2.90-3.04, 2 Pr 2.96
As: 0.2658 0.0000 0.7706  2 Hf 2.82, 3 Ce 2.90-3.03, 1 Pr 2.95
As: 0.7342 0.0000 0.2294  2 Hf 2.82, 3 Ce 2.90-3.03, 1 Pr 2.95
As: 0.7452 0.5000 0.7653  1 Hf 2.80, 3 Ce 2.90-3.04, 2 Pr 2.96